Entry 1:
GGA-PBE Cd2SiTe, optimized geometry; density of states at the Fermi level = 0.471 states/eV per atom; space group = I-42d; E = -18.93 eV per cell; formation energy from raw total energies = 232 meV per atom; E above lowest polymorph = 0.1004 eV/atom
1.0
-3.317 3.317 5.680
3.317 -3.317 5.680
3.317 3.317 -5.680
Cd Si Te
4 2 2
direct
0.093 0.625 0.968
0.375 0.343 0.468
0.657 0.125 0.032
0.875 0.907 0.532
0.000 0.000 0.000
0.750 0.250 0.500
0.250 0.750 0.500
0.500 0.500 0.000

Entry 2:
GGA-PBE CdSi2Te, optimized geometry; density of states at the Fermi level = 0.452 states/eV per atom; space group = Pmmm; E = -13.14 eV per cell; formation energy from raw total energies = 440 meV per atom; E above lowest polymorph = 0.2424 eV/atom
1.0
2.930 0.000 0.000
0.000 3.956 0.000
0.000 0.000 7.626
Cd Si Te
1 2 1
direct
0.000 0.000 0.000
0.500 0.500 0.224
0.500 0.500 0.776
0.500 0.000 0.500

Among the records above, which one has the lowest density of states at the Fermi level?
CdSi2Te

Which value of E above lowest polymorph does entry 1 give?
0.1004 eV/atom